Below is an optimized crystal structure of NaGaP2S, with properties calculated at the PBE-GGA level.

Computed properties:
Volume ... 24.18 A^3/atom
Polymorph energy (0 for the lowest one) ... 755 meV per atom
N(E_F) ... 5.10 states/eV/cell
ΔE_f (raw) ... 1.1506 eV per atom
Energy ... -2.708 eV/atom

The structure in POSCAR format:
```
NaGaP2S
1.0
4.957 0.000 0.000
0.000 4.957 0.000
0.000 0.000 4.921
Na Ga P S
1 1 2 1
Direct
0.000 0.000 0.000 Na
0.500 0.500 0.500 Ga
0.000 0.500 0.000 P
0.500 0.000 0.000 P
0.000 0.000 0.500 S
```